Record 1
{
  "formula": "Tb2Ga4Cu3Pt",
  "functional": "GGA-PBE",
  "state": "optimized geometry",
  "density_kg_m3": 9239,
  "formation_enthalpy_0k_ev_per_atom": -0.563,
  "cell": [[4.143, 0.000, 0.000], [0.000, 4.143, 0.000], [0.000, 0.000, 10.286]],
  "species": ["Tb", "Tb", "Ga", "Ga", "Ga", "Ga", "Cu", "Cu", "Cu", "Pt"],
  "fractional_positions": [[0.000, 0.500, 0.248], [0.500, 0.000, 0.752], [0.000, 0.000, 0.000], [0.000, 0.500, 0.637], [0.500, 0.000, 0.363], [0.500, 0.500, 0.000], [0.000, 0.500, 0.867], [0.500, 0.000, 0.133], [0.500, 0.500, 0.500], [0.000, 0.000, 0.500]]
}


Record 2
{
  "formula": "Na2AlVTc",
  "functional": "GGA-PBE",
  "state": "optimized geometry",
  "density_kg_m3": 2793,
  "formation_enthalpy_0k_ev_per_atom": 1.253,
  "cell": [[5.491, 0.000, 0.000], [0.000, 5.491, 0.000], [0.000, 0.000, 4.377]],
  "species": ["Na", "Na", "Al", "V", "Tc"],
  "fractional_positions": [[0.000, 0.500, 0.000], [0.500, 0.000, 0.000], [0.000, 0.000, 0.500], [0.500, 0.500, 0.000], [0.500, 0.500, 0.500]]
}


Record 3
{
  "formula": "Cd5Hg4",
  "functional": "GGA-PBE",
  "state": "optimized geometry",
  "density_kg_m3": 10366,
  "formation_enthalpy_0k_ev_per_atom": 0.040,
  "cell": [[-6.044, 6.044, 1.496], [6.044, -6.044, 1.496], [6.044, 6.044, -1.496]],
  "species": ["Cd", "Cd", "Cd", "Cd", "Cd", "Hg", "Hg", "Hg", "Hg"],
  "fractional_positions": [[0.000, 0.000, 0.000], [0.332, 0.332, 0.664], [0.332, 0.668, 0.000], [0.668, 0.332, 0.000], [0.668, 0.668, 0.336], [0.000, 0.330, 0.330], [0.000, 0.670, 0.670], [0.330, 0.000, 0.330], [0.670, 0.000, 0.670]]
}


Record 4
{
  "formula": "CuTcP",
  "functional": "GGA-PBE",
  "state": "optimized geometry",
  "density_kg_m3": 7526,
  "formation_enthalpy_0k_ev_per_atom": 0.291,
  "cell": [[0.000, 2.360, 5.794], [1.553, 0.000, 5.794], [1.553, 2.360, 0.000]],
  "species": ["Cu", "Tc", "P"],
  "fractional_positions": [[0.000, 0.000, 0.000], [0.310, 0.310, 0.690], [0.666, 0.666, 0.334]]
}


Record 5
{
  "formula": "TiCoTeI2",
  "functional": "GGA-PBE",
  "state": "optimized geometry",
  "formation_energy_uncorrected_mev_per_atom": 610,
  "density_kg_m3": 6020,
  "cell": [[5.134, 0.000, 0.000], [0.000, 5.134, 0.000], [0.000, 0.000, 5.109]],
  "species": ["Ti", "Co", "Te", "I", "I"],
  "fractional_positions": [[0.000, 0.000, 0.000], [0.500, 0.500, 0.500], [0.500, 0.500, 0.000], [0.000, 0.500, 0.500], [0.500, 0.000, 0.500]]
}


Record 6
{
  "formula": "BeTe3W",
  "functional": "GGA-PBE",
  "state": "optimized geometry",
  "formation_energy_uncorrected_mev_per_atom": 1052,
  "density_kg_m3": 6354,
  "cell": [[5.319, 0.000, 0.000], [0.000, 5.319, 0.000], [0.000, 0.000, 5.319]],
  "species": ["Be", "Te", "Te", "Te", "W"],
  "fractional_positions": [[0.000, 0.000, 0.000], [0.000, 0.500, 0.500], [0.500, 0.000, 0.500], [0.500, 0.500, 0.000], [0.500, 0.500, 0.500]]
}


Record 7
{
  "formula": "Li5Hg2Bi2Pb",
  "functional": "GGA-PBE",
  "state": "optimized geometry",
  "density_kg_m3": 7781,
  "formation_enthalpy_0k_ev_per_atom": -0.269,
  "cell": [[11.650, 0.000, 0.000], [0.000, 11.650, 0.000], [0.000, 0.000, 3.337]],
  "species": ["Li", "Li", "Li", "Li", "Li", "Li", "Li", "Li", "Li", "Li", "Hg", "Hg", "Hg", "Hg", "Bi", "Bi", "Bi", "Bi", "Pb", "Pb"],
  "fractional_positions": [[0.000, 0.500, 0.000], [0.011, 0.212, 0.000], [0.212, 0.989, 0.000], [0.288, 0.489, 0.000], [0.489, 0.712, 0.000], [0.500, 0.000, 0.000], [0.511, 0.288, 0.000], [0.712, 0.511, 0.000], [0.788, 0.011, 0.000], [0.989, 0.788, 0.000], [0.137, 0.363, 0.500], [0.363, 0.863, 0.500], [0.637, 0.137, 0.500], [0.863, 0.637, 0.500], [0.170, 0.670, 0.500], [0.330, 0.170, 0.500], [0.670, 0.830, 0.500], [0.830, 0.330, 0.500], [0.000, 0.000, 0.500], [0.500, 0.500, 0.500]]
}


Record 8
{
  "formula": "LiZnIr2",
  "functional": "GGA-PBE",
  "state": "optimized geometry",
  "density_kg_m3": 13849,
  "formation_enthalpy_0k_ev_per_atom": -0.083,
  "cell": [[-1.435, 2.152, 4.434], [1.435, -2.152, 4.434], [1.435, 2.152, -4.434]],
  "species": ["Li", "Zn", "Ir", "Ir"],
  "fractional_positions": [[0.000, 0.000, 0.000], [0.750, 0.250, 0.500], [0.255, 0.755, 0.500], [0.498, 0.498, 0.000]]
}